Below is a geometry-optimized Dy2HfScSb4 structure, with properties calculated at the GGA-PBE level.

Geometry as POSCAR:
```
Dy2HfScSb4
1.0
4.2497 0.0000 0.0000
0.0000 7.3524 0.1315
0.0000 -2.5653 6.9111
Dy Hf Sc Sb
2 1 1 4
direct
0.5000 0.0000 0.5000
0.0000 0.5000 0.5000
0.0000 0.0000 0.0000
0.5000 0.5000 0.0000
0.5000 0.2435 0.2335
0.5000 0.7565 0.7665
0.0000 0.2540 0.7660
0.0000 0.7460 0.2340
```

symmetry = P2/m
E_form (uncorrected) = -0.91 eV per atom
calculated total energy = -49.22 eV per cell